No. 1
Below is a geometry-optimized SrLa2MoOs structure, with properties calculated at the PBE-GGA level.

Structure (POSCAR):
```
SrLa2MoOs
1.0
5.513 0.000 0.000
0.000 4.673 0.000
0.000 0.000 5.513
Sr Mo Os La
1 1 1 2
Direct
0.000 0.000 0.000 Sr
0.000 0.500 0.000 Mo
0.500 0.500 0.500 Os
0.000 0.000 0.500 La
0.500 0.000 0.000 La
```

## Properties
Calculated volume ... 28.4 Å³/atom
Energy ... -4.480 eV per atom
DOS(E_F) ... 1.567 states/eV/atom
Energy of formation from the pure elements ... 2239 meV per atom
M_tot ... 0.239 μB per atom

***

No. 2
Below is a geometry-optimized LaYMoOs2 structure, with properties calculated at the PBE-GGA level.

Structure (POSCAR):
```
LaYMoOs2
1.0
-2.099 -4.390 0.255
0.556 0.023 4.963
-4.364 2.114 0.479
Y Mo Os La
1 1 2 1
Direct
0.000 0.500 0.000 Y
0.000 0.000 0.000 Mo
0.000 0.000 0.500 Os
0.500 0.000 0.000 Os
0.500 0.500 0.500 La
```

## Properties
Calculated volume ... 23.7 Å³/atom
Energy ... -8.156 eV per atom
DOS(E_F) ... 0.575 states/eV/atom
Energy of formation from the pure elements ... 781 meV per atom
M_tot ... 0.000 μB per atom

***

No. 3
Below is a geometry-optimized LaZnMo2Os structure, with properties calculated at the PBE-GGA level.

Structure (POSCAR):
```
LaZnMo2Os
1.0
4.708 0.000 0.000
0.000 4.988 0.000
0.000 0.000 4.708
Mo Os Zn La
2 1 1 1
Direct
0.000 0.000 0.500 Mo
0.500 0.000 0.000 Mo
0.500 0.500 0.500 Os
0.000 0.500 0.000 Zn
0.000 0.000 0.000 La
```

## Properties
Calculated volume ... 22.1 Å³/atom
Energy ... -5.192 eV per atom
DOS(E_F) ... 1.599 states/eV/atom
Energy of formation from the pure elements ... 2627 meV per atom
M_tot ... 0.000 μB per atom

***

No. 4
Below is a geometry-optimized La2MoP structure, with properties calculated at the PBE-GGA level.

Structure (POSCAR):
```
La2MoP
1.0
8.768 -1.881 0.019
8.768 1.881 0.019
8.358 0.000 3.251
La Mo P
2 1 1
Direct
0.971 0.971 0.971 La
0.770 0.770 0.770 La
0.526 0.526 0.526 Mo
0.232 0.232 0.232 P
```

## Properties
Calculated volume ... 26.7 Å³/atom
Energy ... -6.793 eV per atom
DOS(E_F) ... 0.982 states/eV/atom
Energy of formation from the pure elements ... -270 meV per atom
M_tot ... 0.000 μB per atom

***

Copy entry 3 word for word.
Below is a geometry-optimized LaZnMo2Os structure, with properties calculated at the PBE-GGA level.

Structure (POSCAR):
```
LaZnMo2Os
1.0
4.708 0.000 0.000
0.000 4.988 0.000
0.000 0.000 4.708
Mo Os Zn La
2 1 1 1
Direct
0.000 0.000 0.500 Mo
0.500 0.000 0.000 Mo
0.500 0.500 0.500 Os
0.000 0.500 0.000 Zn
0.000 0.000 0.000 La
```

## Properties
Calculated volume ... 22.1 Å³/atom
Energy ... -5.192 eV per atom
DOS(E_F) ... 1.599 states/eV/atom
Energy of formation from the pure elements ... 2627 meV per atom
M_tot ... 0.000 μB per atom